Record 1
PmScIr: relaxed, GGA-PBE.

Calculated formation energy in eV/atom: -0.513
Energy relative to the lowest polymorph listed for this composition in kcal/mol of atoms: 4.26
DFT total energy in eV per atom: -7.160
Space group: No. 107
Magnetization in μB per cell: 0.000

Cell: 3.3177 3.3177 6.7955 Å, 104.13 104.13 90.00°
Atoms (fractional coordinates):
Ir (0.9357, 0.9357, 0.8714)
Pm (0.5904, 0.5904, 0.1808)
Sc (0.3239, 0.3239, 0.6478)


Record 2
DyTiFe: relaxed, GGA-PBE.

Calculated formation energy in eV/atom: -0.067
DFT total energy in eV per atom: -7.054
Space group: No. 129
Magnetization in μB per cell: 0.000

Cell: 3.8972 3.8972 7.8392 Å, 90.00 90.00 90.00°
Atoms (fractional coordinates):
Fe (0.5000, 0.0000, 0.6949)
Dy (0.0000, 0.5000, 0.8384)
Ti (0.0000, 0.0000, 0.5000)
Ti (0.5000, 0.5000, 0.5000)
Dy (0.5000, 0.0000, 0.1616)
Fe (0.0000, 0.5000, 0.3051)


Record 3
Sr5In3: relaxed, GGA-PBE.

Calculated formation energy in eV/atom: -0.345
Energy relative to the lowest polymorph listed for this composition in kcal/mol of atoms: 0.00
DFT total energy in eV per atom: -2.423
Space group: No. 69
Magnetization in μB per cell: 0.000

Cell: 10.3348 10.3348 10.3378 Å, 129.75 129.75 73.79°
Atoms (fractional coordinates):
Sr (0.9710, 0.8210, 0.5000)
In (0.1163, 0.6163, 0.7324)
Sr (0.0290, 0.1790, 0.5000)
In (0.6164, 0.8836, 0.5000)
Sr (0.3210, 0.4710, 0.5000)
In (0.7500, 0.7500, 0.0000)
Sr (0.5000, 0.5000, 0.0000)
Sr (0.8209, 0.3209, 0.8499)
In (0.3836, 0.1164, 0.5000)
In (0.8837, 0.3837, 0.2676)
Sr (0.4710, 0.9710, 0.1501)
In (0.2500, 0.2500, 0.0000)
Sr (0.6790, 0.5290, 0.5000)
Sr (0.5290, 0.0290, 0.8499)
Sr (0.0000, 0.0000, 0.0000)
Sr (0.1791, 0.6791, 0.1501)


Record 4
Pr2Ho3Er6Tm: relaxed, GGA-PBE.

Calculated formation energy in eV/atom: 0.022
DFT total energy in eV per atom: -4.574
Space group: No. 12
Magnetization in μB per cell: 0.000

Cell: 6.1357 6.1357 11.7271 Å, 94.99 94.99 119.96°
Atoms (fractional coordinates):
Ho (0.5000, 0.5000, 0.5000)
Er (0.0847, 0.4169, 0.2532)
Tm (0.0000, 0.0000, 0.0000)
Er (0.7527, 0.7527, 0.2535)
Pr (0.3335, 0.6665, 0.0000)
Er (0.2473, 0.2473, 0.7465)
Er (0.5831, 0.9153, 0.7468)
Ho (0.1664, 0.8336, 0.5000)
Ho (0.8336, 0.1664, 0.5000)
Pr (0.6665, 0.3335, 0.0000)
Er (0.9153, 0.5831, 0.7468)
Er (0.4169, 0.0847, 0.2532)


Record 5
SrGdHgAu: relaxed, GGA-PBE.

Calculated formation energy in eV/atom: -0.581
DFT total energy in eV per atom: -5.416
Space group: No. 216
Magnetization in μB per cell: 7.062

Cell: 5.3632 5.3632 5.3632 Å, 60.00 60.00 60.00°
Atoms (fractional coordinates):
Sr (0.2500, 0.2500, 0.2500)
Au (0.5000, 0.5000, 0.5000)
Gd (0.7500, 0.7500, 0.7500)
Hg (0.0000, 0.0000, 0.0000)


Record 6
RbRhI2O: relaxed, GGA-PBE.

Energy relative to the lowest polymorph listed for this composition in kcal/mol of atoms: 37.10
DFT total energy in eV per atom: -2.298
Space group: No. 123
Energy relative to the elements, uncorrected in meV per atom: 978
Magnetization in μB per cell: 2.653

Cell: 6.5748 6.5748 4.1795 Å, 90.00 90.00 90.00°
Atoms (fractional coordinates):
Rb (0.0000, 0.0000, 0.0000)
I (0.5000, 0.0000, 0.0000)
O (0.0000, 0.0000, 0.5000)
Rh (0.5000, 0.5000, 0.5000)
I (0.0000, 0.5000, 0.0000)


Which of these has the lowest DFT total energy?
PmScIr